Density functional theory data (PBE-GGA) for crystalline RbCdPd2Se at its relaxed geometry.

abc: 5.221 5.279 5.221
angles: 90.00 90.00 90.00
Fractional positions:
Se 0.000 0.500 0.000
Rb 0.500 0.500 0.500
Pd 0.000 0.000 0.500
Pd 0.500 0.000 0.000
Cd 0.000 0.000 0.000

**E_form (uncorrected)**: 0.18 eV/atom
**Volume**: 143.9 Å³/cell
**Space-group type**: P4/mmm

***

Density functional theory data (PBE-GGA) for crystalline RbCdSnPd at its relaxed geometry.

abc: 4.734 4.734 7.170
angles: 70.72 70.72 60.00
Fractional positions:
Rb 0.810 0.810 0.570
Cd 0.280 0.280 0.161
Sn 0.005 0.005 0.984
Pd 0.631 0.631 0.108

**Volume**: 128.6 Å³/cell
**E_form**: -268 meV/atom
**Space-group type**: R3m

***

Density functional theory data (PBE-GGA) for crystalline RbSr2CdPd at its relaxed geometry.

abc: 6.012 6.012 5.564
angles: 90.00 90.00 90.00
Fractional positions:
Sr 0.000 0.500 0.000
Sr 0.500 0.000 0.000
Rb 0.500 0.500 0.500
Pd 0.000 0.000 0.000
Cd 0.000 0.000 0.500

**Volume**: 201.1 Å³/cell
**E_form**: -218 meV/atom
**Space-group type**: P4/mmm

***

Density functional theory data (PBE-GGA) for crystalline Rb2TaCdPd at its relaxed geometry.

abc: 6.706 5.538 6.706
angles: 90.00 90.00 90.00
Each line ends with the local moment (μB).
Fractional positions:
Cd 0.000 0.500 0.000  0.07
Rb 0.000 0.000 0.500  0.05
Rb 0.500 0.000 0.000  0.05
Pd 0.500 0.500 0.500  0.01
Ta 0.000 0.000 0.000  2.32

**Volume**: 249.0 Å³/cell
**E_form**: 1548 meV/atom
**Space-group type**: P4/mmm

***

Density functional theory data (PBE-GGA) for crystalline RbTlCd2Pd at its relaxed geometry.

abc: 5.392 5.392 5.363
angles: 90.00 90.00 90.00
Fractional positions:
Tl 0.000 0.000 0.500
Rb 0.500 0.500 0.500
Pd 0.000 0.000 0.000
Cd 0.000 0.500 0.000
Cd 0.500 0.000 0.000

**Volume**: 155.9 Å³/cell
**E_form**: -156 meV/atom
**Space-group type**: P4/mmm

***

Density functional theory data (PBE-GGA) for crystalline RbTl2CdPd at its relaxed geometry.

abc: 5.437 5.437 5.434
angles: 90.00 90.00 90.00
Fractional positions:
Tl 0.000 0.500 0.000
Tl 0.500 0.000 0.000
Rb 0.500 0.500 0.500
Pd 0.000 0.000 0.000
Cd 0.000 0.000 0.500

**Volume**: 160.7 Å³/cell
**E_form**: -114 meV/atom
**Space-group type**: P4/mmm

***

Density functional theory data (PBE-GGA) for crystalline Cd2RePd at its relaxed geometry.

abc: 4.645 4.645 4.645
angles: 60.00 60.00 60.00
Each line ends with the local moment (μB).
Fractional positions:
Re 0.500 0.500 0.500  1.86
Pd 0.000 0.000 0.000  0.06
Cd 0.250 0.250 0.250  0.01
Cd 0.750 0.750 0.750  0.01

**Volume**: 70.8 Å³/cell
**E_form**: 564 meV/atom
**Space-group type**: Fm-3m
**ΔE to the lowest computed polymorph**: 0.000 eV per atom

***

Density functional theory data (PBE-GGA) for crystalline Cd3RePd at its relaxed geometry.

abc: 5.223 5.223 5.223
angles: 90.00 90.00 90.00
Each line ends with the local moment (μB).
Fractional positions:
Re 0.000 0.000 0.000  1.65
Pd 0.500 0.500 0.500  0.15
Cd 0.000 0.500 0.000  0.03
Cd 0.000 0.000 0.500  0.04
Cd 0.500 0.000 0.000  0.01

**Volume**: 142.5 Å³/cell
**E_form**: 1282 meV/atom
**Space-group type**: Pm-3m
**ΔE to the lowest computed polymorph**: 0.078 eV per atom